No. 1
Pm2CdIn | meta-GGA SCAN | single point on PBEsol structure

The formation enthalpy at 0 K comes out at -566 meV per atom. The magnetization comes out at 0.72 μB per formula unit.

The space group is Fm-3m (No. 225) and the conventional cell measures 7.552, 7.552 and 7.552 Å, with angles of 90.00, 90.00 and 90.00 degrees. Symmetry generates all atoms from Pm at (0.250, 0.250, 0.250), Cd at (0.000, 0.000, 0.000) and In at (0.000, 0.000, 0.500).

No. 2
YSiF3 | meta-GGA SCAN | single point on PBEsol structure

The calculation puts the energy relative to the elements, uncorrected at -2.506 eV/atom. The magnetization comes out at 2.00 μB per formula unit.

The space group is Pm-3m (No. 221) and the conventional cell measures 4.402, 4.402 and 4.402 Å, with angles of 90.00, 90.00 and 90.00 degrees. Symmetry generates all atoms from Y at (0.000, 0.000, 0.000), Si at (0.500, 0.500, 0.500) and F at (0.000, 0.000, 0.500).

No. 3
RbBa2TiI | meta-GGA SCAN | single point on PBEsol structure

The calculation puts the energy relative to the elements, uncorrected at 0.720 eV/atom. The magnetization comes out at 6.06 μB per formula unit.

The space group is P4/mmm (No. 123) and the conventional cell measures 6.922, 6.922 and 5.253 Å, with angles of 90.00, 90.00 and 90.00 degrees. Symmetry generates all atoms from Rb at (0.000, 0.000, 0.000), Ba at (0.000, 0.500, 0.000), Ti at (0.000, 0.000, 0.500) and I at (0.500, 0.500, 0.500).